{"formula": "NpInBiO", "functional": "PBE", "state": "relaxed", "lattice_angstrom": [[3.262, 0.000, 0.000], [0.000, 3.262, 0.000], [-1.631, -1.631, 9.124]], "species": ["O", "Np", "Bi", "In"], "frac_coords": [[0.143, 0.143, 0.286], [0.612, 0.612, 0.225], [0.960, 0.960, 0.920], [0.297, 0.297, 0.593]], "total_magnetization_mub_per_atom": 1.049, "sg": "I4mm (107)", "energy_ev_per_cell": -28.27}

=====

{"formula": "InBiO3", "functional": "PBE", "state": "relaxed", "lattice_angstrom": [[4.131, 0.000, 0.000], [0.000, 4.131, 0.000], [0.000, 0.000, 4.131]], "species": ["In", "O", "O", "O", "Bi"], "frac_coords": [[0.000, 0.000, 0.000], [0.000, 0.500, 0.000], [0.500, 0.000, 0.000], [0.000, 0.000, 0.500], [0.500, 0.500, 0.500]], "total_magnetization_mub_per_atom": 0.000, "sg": "Pm-3m (221)", "energy_ev_per_cell": -26.00}

=====

{"formula": "InBi2O4", "functional": "PBE", "state": "relaxed", "lattice_angstrom": [[3.419, 0.000, 0.000], [0.000, 6.471, -0.206], [-1.709, -3.378, 5.087]], "species": ["In", "O", "Bi", "Bi", "O", "O", "O"], "frac_coords": [[0.000, 0.000, 0.000], [0.636, 0.250, 0.272], [0.322, 0.313, 0.643], [0.678, 0.687, 0.357], [0.129, 0.866, 0.259], [0.364, 0.750, 0.728], [0.871, 0.134, 0.741]], "total_magnetization_mub_per_atom": 0.000, "sg": "C2/m (12)", "energy_ev_per_cell": -37.77}